(1)
Compound: ScCdIn
Source: the Alexandria database
Functional: PBE
Structure: relaxed

```
data_ScCdIn
_cell_length_a 4.4270
_cell_length_b 4.4572
_cell_length_c 7.1408
_cell_angle_alpha 90.00
_cell_angle_beta 106.79
_cell_angle_gamma 90.00
_space_group_name_H-M_alt 'P 1 21/m 1'
_space_group_IT_number 11
loop_
_space_group_symop_operation_xyz
'x,y,z'
'-x,-y,-z'
'-x,y+1/2,-z'
'x,-y+1/2,z'
loop_
_atom_site_label
_atom_site_fract_x
_atom_site_fract_y
_atom_site_fract_z
Sc1 0.0863 0.2500 0.1723
Cd1 0.2544 0.7500 0.5069
In1 0.4139 0.2500 0.8281
```

=====

(2)
Compound: ScCdIn2
Source: the Alexandria database
Functional: PBE
Structure: relaxed

```
data_ScCdIn2
_cell_length_a 4.4232
_cell_length_b 4.4232
_cell_length_c 9.4666
_cell_angle_alpha 90.00
_cell_angle_beta 90.00
_cell_angle_gamma 90.00
_space_group_name_H-M_alt 'I 4/m m m'
_space_group_IT_number 139
_space_group_name_Hall '-I 4 2'
loop_
_atom_site_label
_atom_site_fract_x
_atom_site_fract_y
_atom_site_fract_z
Sc1 0.0000 0.0000 0.0000
Cd1 0.0000 0.0000 0.5000
In1 0.0000 0.5000 0.2500
```

=====

(3)
Compound: Sc2CdIn
Source: the Alexandria database
Functional: PBE
Structure: relaxed

```
data_Sc2CdIn
_cell_length_a 3.2432
_cell_length_b 4.2857
_cell_length_c 6.4031
_cell_angle_alpha 90.00
_cell_angle_beta 90.00
_cell_angle_gamma 90.00
_space_group_name_H-M_alt 'P m m m'
_space_group_IT_number 47
loop_
_space_group_symop_operation_xyz
'x,y,z'
'-x,-y,-z'
'-x,-y,z'
'x,y,-z'
'x,-y,-z'
'-x,y,z'
'-x,y,-z'
'x,-y,z'
loop_
_atom_site_label
_atom_site_fract_x
_atom_site_fract_y
_atom_site_fract_z
Sc1 0.0000 0.0000 0.2500
Cd1 0.5000 0.5000 0.0000
In1 0.5000 0.5000 0.5000
```

=====

(4)
Compound: Sc3Cd2In
Source: the Alexandria database
Functional: PBE
Structure: relaxed

```
data_Sc3Cd2In
_cell_length_a 5.0102
_cell_length_b 5.0102
_cell_length_c 6.1490
_cell_angle_alpha 90.00
_cell_angle_beta 90.00
_cell_angle_gamma 120.00
_space_group_name_H-M_alt 'P -3 m 1'
_space_group_IT_number 164
_space_group_name_Hall '-P 3 2"'
loop_
_atom_site_label
_atom_site_fract_x
_atom_site_fract_y
_atom_site_fract_z
Sc1 0.0000 0.0000 0.0000
Sc2 0.3333 0.6667 0.6654
Cd1 0.3333 0.6667 0.1568
In1 0.0000 0.0000 0.5000
```

=====

(5)
Compound: Sc2Cd2In
Source: the Alexandria database
Functional: PBE
Structure: relaxed

```
data_Sc2Cd2In
_cell_length_a 3.9711
_cell_length_b 3.9711
_cell_length_c 15.9839
_cell_angle_alpha 90.00
_cell_angle_beta 90.00
_cell_angle_gamma 90.00
_space_group_name_H-M_alt 'I 4/m m m'
_space_group_IT_number 139
_space_group_name_Hall '-I 4 2'
loop_
_atom_site_label
_atom_site_fract_x
_atom_site_fract_y
_atom_site_fract_z
Sc1 0.0000 0.0000 0.0952
Cd1 0.0000 0.5000 0.2500
In1 0.0000 0.0000 0.5000
```

=====

(6)
Compound: ScCdIn
Source: the Alexandria database
Functional: PBE
Structure: relaxed

```
data_ScCdIn
_cell_length_a 4.8548
_cell_length_b 4.8548
_cell_length_c 3.3084
_cell_angle_alpha 90.00
_cell_angle_beta 90.00
_cell_angle_gamma 120.00
_space_group_name_H-M_alt 'P 3 m 1'
_space_group_IT_number 156
loop_
_space_group_symop_operation_xyz
'x,y,z'
'-y,x-y,z'
'-x+y,-x,z'
'-y,-x,z'
'-x+y,y,z'
'x,x-y,z'
loop_
_atom_site_label
_atom_site_fract_x
_atom_site_fract_y
_atom_site_fract_z
Sc1 0.0000 0.0000 0.0000
Cd1 0.6667 0.3333 0.4978
In1 0.3333 0.6667 0.5027
```

=====

(7)
Compound: ScCdIn2
Source: the Alexandria database
Functional: PBE
Structure: relaxed

```
data_ScCdIn2
_cell_length_a 3.2562
_cell_length_b 3.2562
_cell_length_c 8.8565
_cell_angle_alpha 90.00
_cell_angle_beta 90.00
_cell_angle_gamma 90.00
_space_group_name_H-M_alt 'P 4/m m m'
_space_group_IT_number 123
_space_group_name_Hall '-P 4 2'
loop_
_atom_site_label
_atom_site_fract_x
_atom_site_fract_y
_atom_site_fract_z
Sc1 0.0000 0.0000 0.0000
Cd1 0.0000 0.0000 0.5000
In1 0.5000 0.5000 0.2405
```

=====

(8)
Compound: ScCdIn2
Source: the Alexandria database
Functional: PBE
Structure: relaxed

```
data_ScCdIn2
_cell_length_a 11.7094
_cell_length_b 3.4213
_cell_length_c 5.2045
_cell_angle_alpha 90.00
_cell_angle_beta 114.48
_cell_angle_gamma 90.00
_space_group_name_H-M_alt 'C 1 m 1'
_space_group_IT_number 8
loop_
_space_group_symop_operation_xyz
'x,y,z'
'x,-y,z'
'x+1/2,y+1/2,z'
'x+1/2,-y+1/2,z'
loop_
_atom_site_label
_atom_site_fract_x
_atom_site_fract_y
_atom_site_fract_z
Sc1 0.0000 0.0000 0.0000
Cd1 0.2606 0.0000 0.6178
In1 0.0004 0.5000 0.4910
In2 0.2431 0.5000 0.0993
```

=====

(9)
Compound: ScCdIn2
Source: the Alexandria database
Functional: PBE
Structure: relaxed

```
data_ScCdIn2
_cell_length_a 6.4283
_cell_length_b 8.5748
_cell_length_c 3.3740
_cell_angle_alpha 90.00
_cell_angle_beta 90.00
_cell_angle_gamma 90.00
_space_group_name_H-M_alt 'C m m m'
_space_group_IT_number 65
_space_group_name_Hall '-C 2 2'
loop_
_atom_site_label
_atom_site_fract_x
_atom_site_fract_y
_atom_site_fract_z
Sc1 0.0000 0.0000 0.0000
Cd1 0.0000 0.5000 0.0000
In1 0.2500 0.2500 0.5000
```

=====

(10)
Compound: Sc5CdIn
Source: the Alexandria database
Functional: PBE
Structure: relaxed

```
data_Sc5CdIn
_cell_length_a 7.7621
_cell_length_b 8.3295
_cell_length_c 10.7776
_cell_angle_alpha 90.00
_cell_angle_beta 105.28
_cell_angle_gamma 90.00
_space_group_name_H-M_alt 'C 1 2/c 1'
_space_group_IT_number 15
loop_
_space_group_symop_operation_xyz
'x,y,z'
'-x,-y,-z'
'-x,y,-z+1/2'
'x,-y,z+1/2'
'x+1/2,y+1/2,z'
'-x+1/2,-y+1/2,-z'
'-x+1/2,y+1/2,-z+1/2'
'x+1/2,-y+1/2,z+1/2'
loop_
_atom_site_label
_atom_site_fract_x
_atom_site_fract_y
_atom_site_fract_z
Sc1 0.0000 0.1168 0.2500
Sc2 0.1187 0.3582 0.5331
Sc3 0.2070 0.2147 0.8470
Cd1 0.0000 0.0000 0.0000
In1 0.0000 0.4747 0.2500
```

=====

(11)
Compound: Sc6CdIn
Source: the Alexandria database
Functional: PBE
Structure: relaxed

```
data_Sc6CdIn
_cell_length_a 8.2459
_cell_length_b 6.2032
_cell_length_c 8.5568
_cell_angle_alpha 90.00
_cell_angle_beta 107.78
_cell_angle_gamma 90.00
_space_group_name_H-M_alt 'C 1 2/m 1'
_space_group_IT_number 12
loop_
_space_group_symop_operation_xyz
'x,y,z'
'-x,-y,-z'
'-x,y,-z'
'x,-y,z'
'x+1/2,y+1/2,z'
'-x+1/2,-y+1/2,-z'
'-x+1/2,y+1/2,-z'
'x+1/2,-y+1/2,z'
loop_
_atom_site_label
_atom_site_fract_x
_atom_site_fract_y
_atom_site_fract_z
Sc1 0.1441 0.0000 0.4431
Sc2 0.1878 0.2454 0.7980
Cd1 0.0000 0.5000 0.5000
In1 0.0000 0.0000 0.0000
```

=====

(12)
Compound: Sc8CdIn2
Source: the Alexandria database
Functional: PBE
Structure: relaxed

```
data_Sc8CdIn2
_cell_length_a 8.2079
_cell_length_b 14.1847
_cell_length_c 5.2397
_cell_angle_alpha 90.00
_cell_angle_beta 119.48
_cell_angle_gamma 90.00
_space_group_name_H-M_alt 'C 1 2/m 1'
_space_group_IT_number 12
loop_
_space_group_symop_operation_xyz
'x,y,z'
'-x,-y,-z'
'-x,y,-z'
'x,-y,z'
'x+1/2,y+1/2,z'
'-x+1/2,-y+1/2,-z'
'-x+1/2,y+1/2,-z'
'x+1/2,-y+1/2,z'
loop_
_atom_site_label
_atom_site_fract_x
_atom_site_fract_y
_atom_site_fract_z
Sc1 0.0000 0.2095 0.0000
Sc2 0.0926 0.5000 0.7976
Sc3 0.2171 0.1134 0.6409
Cd1 0.0000 0.0000 0.0000
In1 0.0000 0.3042 0.5000
```

=====

(13)
Compound: Sc5Cd4In
Source: the Alexandria database
Functional: PBE
Structure: relaxed

```
data_Sc5Cd4In
_cell_length_a 3.5486
_cell_length_b 3.5486
_cell_length_c 17.6457
_cell_angle_alpha 90.00
_cell_angle_beta 90.00
_cell_angle_gamma 90.00
_space_group_name_H-M_alt 'P 4/m m m'
_space_group_IT_number 123
_space_group_name_Hall '-P 4 2'
loop_
_atom_site_label
_atom_site_fract_x
_atom_site_fract_y
_atom_site_fract_z
Sc1 0.0000 0.0000 0.0000
Sc2 0.0000 0.0000 0.1999
Sc3 0.0000 0.0000 0.3980
Cd1 0.5000 0.5000 0.1001
Cd2 0.5000 0.5000 0.2981
In1 0.5000 0.5000 0.5000
```

=====

(14)
Compound: Sc2CdIn
Source: the Alexandria database
Functional: PBE
Structure: relaxed

```
data_Sc2CdIn
_cell_length_a 7.0930
_cell_length_b 7.0930
_cell_length_c 7.0930
_cell_angle_alpha 90.00
_cell_angle_beta 90.00
_cell_angle_gamma 90.00
_space_group_name_H-M_alt 'F m -3 m'
_space_group_IT_number 225
_space_group_name_Hall '-F 4 2 3'
loop_
_atom_site_label
_atom_site_fract_x
_atom_site_fract_y
_atom_site_fract_z
Sc1 0.2500 0.2500 0.2500
Cd1 0.0000 0.0000 0.0000
In1 0.0000 0.0000 0.5000
```

=====

So what do the calculations give for energy of formation? Going down the list: -0.772, -0.787, -1.437, -2.094, 0.201, -0.856, -0.539, -0.759, -0.910, -0.457, 0.723, -1.039, -3.229, -1.516 eV/f.u..
So what do the calculations give for E? Going down the list: -3.59, -3.38, -4.44, -4.28, -3.41, -3.61, -3.32, -3.37, -3.41, -5.11, -5.12, -5.28, -4.13, -4.46 eV/atom.